K2FeAs | SCAN | PBEsol geometry

Unit cell a=3.3391 b=3.3391 c=9.8976 alpha=90.00 beta=90.00 gamma=90.00
Site moments in Bohr magnetons follow the coordinates.
Positions (direct):
As: 0.0000 0.0000 0.5904  -0.07
K: 0.5000 0.5000 0.3387  0.00
Fe: 0.5000 0.5000 0.6543  2.72
K: 0.0000 0.0000 0.9166  -0.03

**Space-group type**: P4mm (99)
**Energy of formation**: 169.7 meV per atom
**Total magnetic moment**: 2.4 μB per formula unit
**ρ**: 3.14 g/cm3
**VASP energy**: -13.5747 eV per atom

=====

DyTiGe | SCAN | PBEsol geometry

Unit cell a=4.0009 b=4.0009 c=7.5694 alpha=90.00 beta=90.00 gamma=90.00
Site moments in Bohr magnetons follow the coordinates.
Positions (direct):
Dy: 0.5000 0.0000 0.6563  -0.25
Dy: 0.0000 0.5000 0.3437  -0.25
Ti: 0.5000 0.5000 0.0000  0.75
Ge: 0.0000 0.5000 0.7560  -0.01
Ge: 0.5000 0.0000 0.2440  -0.01
Ti: 0.0000 0.0000 0.0000  0.75

**Space-group type**: P4/nmm (129)
**Energy of formation**: -778.8 meV per atom
**Total magnetic moment**: 0.5 μB per formula unit
**ρ**: 7.76 g/cm3
**VASP energy**: -28.4168 eV per atom

=====

CaScMn2 | SCAN | PBEsol geometry

Unit cell a=3.1141 b=3.1141 c=9.5016 alpha=80.57 beta=80.57 gamma=60.00
Site moments in Bohr magnetons follow the coordinates.
Positions (direct):
Ca: 0.0000 0.0000 0.0000  -0.15
Mn: 0.2438 0.2438 0.2685  3.80
Sc: 0.5000 0.5000 0.5000  -0.48
Mn: 0.7562 0.7562 0.7315  3.80

**Space-group type**: R-3m (166)
**Energy of formation**: 332.2 meV per atom
**Total magnetic moment**: 6.8 μB per formula unit
**ρ**: 4.13 g/cm3
**VASP energy**: -14.7705 eV per atom

=====

NbCd2MoH | SCAN | PBEsol geometry

Unit cell a=3.1448 b=5.2459 c=5.2459 alpha=90.00 beta=90.00 gamma=90.00
Positions (direct):
Cd: 0.0000 0.5000 0.0000
Nb: 0.5000 0.5000 0.5000
H: 0.5000 0.0000 0.0000
Cd: 0.0000 0.0000 0.5000
Mo: 0.0000 0.0000 0.0000

**Space-group type**: P4/mmm (123)
**Total magnetic moment**: 0.0 μB per formula unit
**ρ**: 7.96 g/cm3
**VASP energy**: -25.4826 eV per atom

=====

MgIn2Tc | SCAN | PBEsol geometry

Unit cell a=2.9487 b=4.8868 c=5.0863 alpha=90.00 beta=90.00 gamma=90.00
Positions (direct):
Tc: 0.5000 0.5000 0.2184
In: 0.0000 0.5000 0.7054
In: 0.0000 0.0000 0.0470
Mg: 0.5000 0.0000 0.5292

**Space-group type**: Pmm2 (25)
**Energy of formation**: 145.2 meV per atom
**Total magnetic moment**: 0.0 μB per formula unit
**ρ**: 7.97 g/cm3
**VASP energy**: -26.5564 eV per atom

=====

Na2SrPb2 | SCAN | PBEsol geometry

Unit cell a=4.6890 b=4.6890 c=8.0121 alpha=107.01 beta=107.01 gamma=90.00
Positions (direct):
Na: 0.7500 0.2500 0.5000
Na: 0.2500 0.7500 0.5000
Pb: 0.5995 0.5995 0.1991
Pb: 0.4005 0.4005 0.8009
Sr: 0.0000 0.0000 0.0000

**Space-group type**: I4/mmm (139)
**Energy of formation**: -444.6 meV per atom
**Total magnetic moment**: 0.0 μB per formula unit
**ρ**: 5.67 g/cm3
**VASP energy**: -36.8981 eV per atom

=====

YZnPb | SCAN | PBEsol geometry

Unit cell a=4.8993 b=4.8993 c=4.8993 alpha=60.00 beta=60.00 gamma=60.00
Positions (direct):
Y: 0.2500 0.2500 0.2500
Zn: 0.0000 0.0000 0.0000
Pb: 0.5000 0.5000 0.5000

**Space-group type**: F-43m (216)
**Energy of formation**: -152.8 meV per atom
**Total magnetic moment**: 0.0 μB per formula unit
**ρ**: 7.22 g/cm3
**VASP energy**: -39.1992 eV per atom

=====

SnBMo3 | SCAN | PBEsol geometry

Unit cell a=4.2192 b=4.2192 c=4.2192 alpha=90.00 beta=90.00 gamma=90.00
Positions (direct):
Sn: 0.5000 0.5000 0.5000
Mo: 0.0000 0.0000 0.5000
B: 0.0000 0.0000 0.0000
Mo: 0.0000 0.5000 0.0000
Mo: 0.5000 0.0000 0.0000

**Space-group type**: Pm-3m (221)
**Energy of formation**: 244.8 meV per atom
**Total magnetic moment**: 0.0 μB per formula unit
**ρ**: 9.23 g/cm3
**VASP energy**: -29.3564 eV per atom